VASP calculation (PBE-GGA) on a geometry-optimized LuPaV4 structure.

* total magnetization: 0.00 Bohr magnetons per cell
* formation energy: 140 meV per atom
* density of states at the Fermi level: 1.0447 states/eV per atom
* V: 417.14 Å³/cell

Cell and atoms, written as CIF:
```
data_LuPaV4
_cell_length_a 7.472
_cell_length_b 7.472
_cell_length_c 7.472
_cell_angle_alpha 90.00
_cell_angle_beta 90.00
_cell_angle_gamma 90.00
_space_group_name_H-M_alt 'F -4 3 m'
_space_group_IT_number 216
_space_group_name_Hall 'F -4 2 3'
loop_
_atom_site_label
_atom_site_type_symbol
_atom_site_fract_x
_atom_site_fract_y
_atom_site_fract_z
Lu1 Lu 0.000 0.000 0.000
Pa1 Pa 0.250 0.250 0.250
V1 V 0.123 0.123 0.623
```